# NdGe2P2Pt7

A relaxed structure of NdGe2P2Pt7 (PBE-GGA, the Alexandria database).

Results
Fermi-level density of states in states/eV/cell: 3.780
Calculated formation energy in eV per atom: -0.5176
V in Å³/f.u.: 232.1
Spin magnetization in μB/cell: 0.0
SG: C2/m, No. 12
Crystal system: monoclinic

Unit cell a=3.9353 b=3.9353 c=15.2330 alpha=82.74 beta=82.74 gamma=89.34
Last column: nearest neighbours and their distance in Å.
Sites, in units of the cell vectors:
P 0.6169 0.6169 0.7562  5 Pt 2.30-2.37
Nd 0.0000 0.0000 0.0000  12 Pt 2.77-3.05
Pt 0.5000 0.5000 0.0000  4 Nd 2.77-2.80, 8 Pt 3.05-3.06
Pt 0.3210 0.3210 0.3975  1 P 2.30, 2 Ge 2.56-2.57
Pt 0.4249 0.9252 0.1558  2 P 2.37
Pt 0.5751 0.0748 0.8442  2 P 2.37
Pt 0.6790 0.6790 0.6025  1 P 2.30, 2 Ge 2.56-2.57
Ge 0.7540 0.7540 0.4320  4 Pt 2.56-2.83
Pt 0.9252 0.4249 0.1558  2 P 2.37
Pt 0.0748 0.5751 0.8442  2 P 2.37
Ge 0.2460 0.2460 0.5680  4 Pt 2.56-2.83
P 0.3831 0.3831 0.2438  5 Pt 2.30-2.37

# Nd2Ge3PPt4

A relaxed structure of Nd2Ge3PPt4 (PBE-GGA, the Alexandria database).

Results
Fermi-level density of states in states/eV/cell: 6.582
Calculated formation energy in eV per atom: -0.9312
V in Å³/f.u.: 190.8
Spin magnetization in μB/cell: 0.0
SG: P-4m2, No. 115
Crystal system: tetragonal

Unit cell a=4.4114 b=4.4114 c=9.8019 alpha=90.00 beta=90.00 gamma=90.00
Last column: nearest neighbours and their distance in Å.
Sites, in units of the cell vectors:
Ge 0.5000 0.0000 0.8682  5 Pt 2.49-2.56
Pt 0.5000 0.0000 0.6140  3 Ge 2.47-2.49, 2 P 2.47
Pt 0.0000 0.0000 0.0000  4 Ge 2.56
Nd 0.0000 0.5000 0.7431  2 P 3.25, 6 Ge 3.25-3.35, 9 Pt 3.35-3.50
Ge 0.0000 0.0000 0.5000  4 Pt 2.47
Pt 0.5000 0.5000 0.0000  4 Ge 2.56
Nd 0.5000 0.0000 0.2569  6 Ge 3.25-3.35, 2 P 3.25, 9 Pt 3.35-3.50
P 0.5000 0.5000 0.5000  4 Pt 2.47
Ge 0.0000 0.5000 0.1318  5 Pt 2.49-2.56
Pt 0.0000 0.5000 0.3860  2 P 2.47, 3 Ge 2.47-2.49

# NdGePRh2

A relaxed structure of NdGePRh2 (PBE-GGA, the Alexandria database).

Results
Fermi-level density of states in states/eV/cell: 8.474
Calculated formation energy in eV per atom: -0.8399
V in Å³/f.u.: 93.4
Spin magnetization in μB/cell: 0.0
SG: Cmcm, No. 63
Crystal system: orthorhombic

Unit cell a=4.1567 b=6.3814 c=7.4492 alpha=90.00 beta=90.00 gamma=109.01
Last column: nearest neighbours and their distance in Å.
Sites, in units of the cell vectors:
Nd 0.5515 0.1031 0.2500  4 P 2.86
Rh 0.8214 0.6428 0.4400  1 P 2.20
Nd 0.4485 0.8969 0.7500  4 P 2.86
P 0.0000 0.0000 0.5000  2 Rh 2.20
Ge 0.7269 0.4537 0.7500  6 Rh 2.58
Rh 0.1786 0.3572 0.5600  1 P 2.20
Rh 0.8214 0.6428 0.0600  1 P 2.20
P 0.0000 0.0000 0.0000  2 Rh 2.20
Ge 0.2731 0.5463 0.2500  6 Rh 2.58
Rh 0.1786 0.3572 0.9400  1 P 2.20

# Nd3GeP2Rh9

A relaxed structure of Nd3GeP2Rh9 (PBE-GGA, the Alexandria database).

Results
Fermi-level density of states in states/eV/cell: 5.090
Calculated formation energy in eV per atom: -0.6592
V in Å³/f.u.: 282.9
Spin magnetization in μB/cell: 0.0
SG: P-3m1, No. 164
Crystal system: trigonal

Unit cell a=6.1197 b=6.1197 c=8.7228 alpha=90.00 beta=90.00 gamma=120.00
Last column: nearest neighbours and their distance in Å.
Sites, in units of the cell vectors:
Nd 0.6667 0.3333 0.3354  9 Rh 3.09-3.42
Ge 0.0000 0.0000 0.5000  6 Rh 2.46
Rh 0.5000 0.0000 0.0000  2 P 2.28
Rh 0.6958 0.8479 0.2869  1 P 2.19
Rh 0.1521 0.8479 0.2869  1 P 2.19
Rh 0.3042 0.1521 0.7131  1 P 2.19
P 0.6667 0.3333 0.8346  6 Rh 2.19-2.28
Rh 0.1521 0.3042 0.2869  1 P 2.19
Rh 0.8479 0.1521 0.7131  1 P 2.19
Nd 0.0000 0.0000 0.0000  12 Rh 2.98-3.06
Rh 0.5000 0.5000 0.0000  2 P 2.28
Nd 0.3333 0.6667 0.6646  9 Rh 3.09-3.42
P 0.3333 0.6667 0.1654  6 Rh 2.19-2.28
Rh 0.8479 0.6958 0.7131  1 P 2.19
Rh 0.0000 0.5000 0.0000  2 P 2.28

# Nd2Ge3PRh4

A relaxed structure of Nd2Ge3PRh4 (PBE-GGA, the Alexandria database).

Results
Fermi-level density of states in states/eV/cell: 5.406
Calculated formation energy in eV per atom: -0.9199
V in Å³/f.u.: 181.2
Spin magnetization in μB/cell: 0.0
SG: P-4m2, No. 115
Crystal system: tetragonal

Unit cell a=4.2755 b=4.2755 c=9.9133 alpha=90.00 beta=90.00 gamma=90.00
Last column: nearest neighbours and their distance in Å.
Sites, in units of the cell vectors:
Nd 0.5000 0.0000 0.2621  6 Ge 3.18-3.29, 2 P 3.18, 9 Rh 3.26-3.51
Rh 0.5000 0.5000 0.0000  4 Ge 2.51
Ge 0.0000 0.5000 0.1325  5 Rh 2.49-2.51
Ge 0.0000 0.0000 0.5000  4 Rh 2.43
P 0.5000 0.5000 0.5000  4 Rh 2.43
Rh 0.0000 0.0000 0.0000  4 Ge 2.51
Nd 0.0000 0.5000 0.7379  6 Ge 3.18-3.29, 2 P 3.18, 9 Rh 3.26-3.51
Rh 0.0000 0.5000 0.3841  2 P 2.43, 3 Ge 2.43-2.49
Rh 0.5000 0.0000 0.6159  2 P 2.43, 3 Ge 2.43-2.49
Ge 0.5000 0.0000 0.8675  5 Rh 2.49-2.51

# NdGe2PRu2

A relaxed structure of NdGe2PRu2 (PBE-GGA, the Alexandria database).

Results
Fermi-level density of states in states/eV/cell: 4.977
Calculated formation energy in eV per atom: -0.3796
V in Å³/f.u.: 111.7
Spin magnetization in μB/cell: 0.8
SG: P4/mmm, No. 123
Crystal system: tetragonal

Unit cell a=4.4644 b=4.4644 c=5.6054 alpha=90.00 beta=90.00 gamma=90.00
Last column: nearest neighbours and their distance in Å.
Sites, in units of the cell vectors:
Ru 0.5000 0.0000 0.0000  2 P 2.23
Nd 0.0000 0.0000 0.5000  2 P 2.80
P 0.0000 0.0000 0.0000  4 Ru 2.23
Ge 0.5000 0.5000 0.7247  1 Ge 2.52, 4 Ru 2.71
Ru 0.0000 0.5000 0.0000  2 P 2.23
Ge 0.5000 0.5000 0.2753  1 Ge 2.52, 4 Ru 2.71

# Nd6Ge3PS2

A relaxed structure of Nd6Ge3PS2 (PBE-GGA, the Alexandria database).

Results
Fermi-level density of states in states/eV/cell: 6.020
Formation energy without anion corrections in meV per atom: -1335
V in Å³/f.u.: 316.0
Spin magnetization in μB/cell: 0.0
SG: C2/m, No. 12
Crystal system: monoclinic

Unit cell a=4.1663 b=8.4977 c=9.4657 alpha=104.48 beta=102.71 gamma=90.00
Last column: nearest neighbours and their distance in Å.
Sites, in units of the cell vectors:
Nd 0.6680 0.5803 0.3359  3 S 2.94-2.95, 3 Ge 2.99-3.00
Ge 0.5000 0.5000 0.0000  6 Nd 3.00-3.02
Ge 0.8326 0.1680 0.6651  6 Nd 2.99-3.03
Nd 0.3320 0.4197 0.6641  3 S 2.94-2.95, 3 Ge 2.99-3.00
Nd 0.6645 0.0855 0.3291  1 P 2.94, 2 S 2.96, 3 Ge 3.00-3.01
Nd 0.3355 0.9145 0.6709  1 P 2.94, 2 S 2.96, 3 Ge 3.00-3.01
S 0.1672 0.3340 0.3344  6 Nd 2.94-2.96
S 0.8328 0.6660 0.6656  6 Nd 2.94-2.96
Nd 0.0018 0.2431 0.0037  2 P 2.93, 1 S 2.95, 3 Ge 3.02-3.03
Ge 0.1674 0.8320 0.3349  6 Nd 2.99-3.03
Nd 0.9982 0.7569 0.9963  2 P 2.93, 1 S 2.95, 3 Ge 3.02-3.03
P 0.5000 0.0000 0.0000  6 Nd 2.93-2.94

# Nd4GeP2S

A relaxed structure of Nd4GeP2S (PBE-GGA, the Alexandria database).

Results
Fermi-level density of states in states/eV/cell: 1.415
Formation energy without anion corrections in meV per atom: -1510
V in Å³/f.u.: 206.6
Spin magnetization in μB/cell: 0.0
SG: P2/m, No. 10
Crystal system: monoclinic

Unit cell a=4.1591 b=7.2561 c=7.2521 alpha=70.70 beta=90.00 gamma=90.00
Last column: nearest neighbours and their distance in Å.
Sites, in units of the cell vectors:
Nd 0.5000 0.2433 0.7529  3 P 2.93-2.94, 1 Ge 2.98, 2 S 2.98
P 0.0000 0.0000 0.0000  6 Nd 2.93-2.95
Ge 0.5000 0.5000 0.0000  6 Nd 2.98-2.99
Nd 0.0000 0.2434 0.2550  3 P 2.92-2.95, 1 S 2.97, 2 Ge 2.99
S 0.0000 0.5000 0.5000  6 Nd 2.97-2.98
P 0.5000 0.0000 0.5000  6 Nd 2.92-2.94
Nd 0.5000 0.7567 0.2471  3 P 2.93-2.94, 1 Ge 2.98, 2 S 2.98
Nd 0.0000 0.7566 0.7450  3 P 2.92-2.95, 1 S 2.97, 2 Ge 2.99

Repeat the second record exactly.
# Nd2Ge3PPt4

A relaxed structure of Nd2Ge3PPt4 (PBE-GGA, the Alexandria database).

Results
Fermi-level density of states in states/eV/cell: 6.582
Calculated formation energy in eV per atom: -0.9312
V in Å³/f.u.: 190.8
Spin magnetization in μB/cell: 0.0
SG: P-4m2, No. 115
Crystal system: tetragonal

Unit cell a=4.4114 b=4.4114 c=9.8019 alpha=90.00 beta=90.00 gamma=90.00
Last column: nearest neighbours and their distance in Å.
Sites, in units of the cell vectors:
Ge 0.5000 0.0000 0.8682  5 Pt 2.49-2.56
Pt 0.5000 0.0000 0.6140  3 Ge 2.47-2.49, 2 P 2.47
Pt 0.0000 0.0000 0.0000  4 Ge 2.56
Nd 0.0000 0.5000 0.7431  2 P 3.25, 6 Ge 3.25-3.35, 9 Pt 3.35-3.50
Ge 0.0000 0.0000 0.5000  4 Pt 2.47
Pt 0.5000 0.5000 0.0000  4 Ge 2.56
Nd 0.5000 0.0000 0.2569  6 Ge 3.25-3.35, 2 P 3.25, 9 Pt 3.35-3.50
P 0.5000 0.5000 0.5000  4 Pt 2.47
Ge 0.0000 0.5000 0.1318  5 Pt 2.49-2.56
Pt 0.0000 0.5000 0.3860  2 P 2.47, 3 Ge 2.47-2.49

Question: Which of these has the lowest Fermi-level density of states?
Answer: Nd4GeP2S

Question: Which of these has the lowest Fermi-level density of states?
Answer: Nd4GeP2S